No. 1
A plane-wave DFT calculation with PBE was carried out for an optimized crystal structure of SrNbPS2.

a b c (Å): 4.8775 4.8775 4.8840
angles (deg): 90.00 90.00 90.00
Atoms (fractional coordinates):
Sr  0.0000  0.0000  0.0000
Nb  0.5000  0.5000  0.5000
P  0.5000  0.5000  0.0000
S  0.0000  0.5000  0.5000
S  0.5000  0.0000  0.5000

Summary:
For the formation energy without anion corrections, the calculation gives -0.97 eV per atom. The energy above the most stable polymorph in this dataset comes out at 0 meV per atom. As for the mass density: 3.939 g cm⁻³.

***

No. 2
A plane-wave DFT calculation with PBE was carried out for an optimized crystal structure of HfTePS2.

a b c (Å): 4.8808 4.8808 5.0359
angles (deg): 90.00 90.00 90.00
Atoms (fractional coordinates):
Hf  0.0000  0.0000  0.0000
Te  0.5000  0.5000  0.5000
P  0.5000  0.5000  0.0000
S  0.0000  0.5000  0.5000
S  0.5000  0.0000  0.5000

Summary:
For the formation energy without anion corrections, the calculation gives 0.81 eV per atom. The energy above the most stable polymorph in this dataset comes out at 904 meV per atom. As for the mass density: 5.553 g cm⁻³.

***

No. 3
A plane-wave DFT calculation with PBE was carried out for an optimized crystal structure of K3TlSe3.

a b c (Å): 9.4233 8.2917 13.0458
angles (deg): 90.00 97.20 90.00
Atoms (fractional coordinates):
K  0.0834  0.1712  0.1223
K  0.0834  0.3288  0.6223
K  0.3074  0.7336  0.7902
K  0.3074  0.7664  0.2902
K  0.4009  0.2326  0.9204
K  0.4009  0.2674  0.4204
K  0.5991  0.7326  0.5796
K  0.5991  0.7674  0.0796
K  0.6926  0.2336  0.7098
K  0.6926  0.2664  0.2098
K  0.9166  0.6712  0.3777
K  0.9166  0.8288  0.8777
Tl  0.1817  0.5863  0.0491
Tl  0.1817  0.9137  0.5491
Tl  0.8183  0.0863  0.4509
Tl  0.8183  0.4137  0.9509
Se  0.0780  0.0643  0.3681
Se  0.0780  0.4357  0.8681
Se  0.2560  0.6128  0.5187
Se  0.2560  0.8872  0.0187
Se  0.3784  0.0813  0.6640
Se  0.3784  0.4187  0.1640
Se  0.6216  0.5813  0.8360
Se  0.6216  0.9187  0.3360
Se  0.7440  0.1128  0.9813
Se  0.7440  0.3872  0.4813
Se  0.9220  0.5643  0.1319
Se  0.9220  0.9357  0.6319

Summary:
For the formation energy without anion corrections, the calculation gives -0.91 eV per atom. The energy above the most stable polymorph in this dataset comes out at 0 meV per atom. As for the mass density: 3.669 g cm⁻³.

***

No. 4
A plane-wave DFT calculation with PBE was carried out for an optimized crystal structure of GeTeOs.

a b c (Å): 4.7802 4.7802 9.9380
angles (deg): 111.57 111.57 38.57
Atoms (fractional coordinates):
Ge  0.1052  0.1052  0.4065
Ge  0.8948  0.8948  0.5935
Te  0.2880  0.2880  0.8642
Te  0.7120  0.7120  0.1358
Os  0.3668  0.3668  0.3627
Os  0.6332  0.6332  0.6373

Summary:
For the formation energy without anion corrections, the calculation gives 0.13 eV per atom. As for the mass density: 9.944 g cm⁻³.

***

No. 5
A plane-wave DFT calculation with PBE was carried out for an optimized crystal structure of Ca3In2Ag7.

a b c (Å): 10.0487 10.0487 10.0487
angles (deg): 33.37 33.37 33.37
Atoms (fractional coordinates):
Ca  0.0000  0.0000  0.0000
Ca  0.1422  0.1422  0.1422
Ca  0.8578  0.8578  0.8578
In  0.3328  0.3328  0.3328
In  0.6672  0.6672  0.6672
Ag  0.0830  0.5875  0.5875
Ag  0.4125  0.4125  0.9170
Ag  0.4125  0.9170  0.4125
Ag  0.5000  0.5000  0.5000
Ag  0.5875  0.0830  0.5875
Ag  0.5875  0.5875  0.0830
Ag  0.9170  0.4125  0.4125

Summary:
The formation energy is -0.234 eV per atom. As for the mass density: 6.710 g cm⁻³.

***

No. 6
A plane-wave DFT calculation with PBE was carried out for an optimized crystal structure of Ca4CeTl5.

a b c (Å): 3.8868 3.8868 19.5956
angles (deg): 90.00 90.00 90.00
Atoms (fractional coordinates):
Ca  0.0000  0.0000  0.0997
Ca  0.0000  0.0000  0.2967
Ca  0.0000  0.0000  0.7033
Ca  0.0000  0.0000  0.9003
Ce  0.0000  0.0000  0.5000
Tl  0.5000  0.5000  0.0000
Tl  0.5000  0.5000  0.1983
Tl  0.5000  0.5000  0.3971
Tl  0.5000  0.5000  0.6029
Tl  0.5000  0.5000  0.8017

Summary:
The formation energy is -0.392 eV per atom. As for the mass density: 7.417 g cm⁻³.